Ca2CeSmTe4: optimized geometry, PBE.

Structure (POSCAR):
```
Ca2CeSmTe4
1.0
4.453 0.000 0.000
0.000 7.895 -0.221
0.000 2.714 7.211
Ca Ce Sm Te
2 1 1 4
Direct
0.000 0.000 0.000 Ca
0.500 0.000 0.500 Ca
0.500 0.500 0.000 Ce
0.000 0.500 0.500 Sm
0.000 0.755 0.746 Te
0.000 0.245 0.254 Te
0.500 0.753 0.251 Te
0.500 0.247 0.749 Te
```

Summary:
uncorrected energy	-4.88	eV/atom
energy relative to the elements, uncorrected	-11.83	eV/f.u.
V	32.0	A^3/atom

=====

Ca3CeSm2Te6: optimized geometry, PBE.

Structure (POSCAR):
```
Ca3CeSm2Te6
1.0
-3.608 5.746 -3.647
-3.552 -6.764 0.982
-0.371 2.729 7.380
Ca Ce Sm Te
3 1 2 6
Direct
0.166 0.834 0.500 Ca
0.834 0.166 0.500 Ca
0.500 0.500 0.500 Ca
0.000 0.000 0.000 Ce
0.333 0.667 0.000 Sm
0.667 0.333 0.000 Sm
0.916 0.580 0.747 Te
0.748 0.748 0.253 Te
0.084 0.420 0.253 Te
0.580 0.916 0.747 Te
0.252 0.252 0.747 Te
0.420 0.084 0.253 Te
```

Summary:
uncorrected energy	-4.84	eV/atom
energy relative to the elements, uncorrected	-17.81	eV/f.u.
V	31.9	A^3/atom

=====

CaCe2Sm3Te6: optimized geometry, PBE.

Structure (POSCAR):
```
CaCe2Sm3Te6
1.0
-1.403 -4.082 1.042
6.490 -3.539 -5.124
4.902 2.834 8.242
Ca Ce Sm Te
1 2 3 6
Direct
0.500 0.000 0.000 Ca
0.830 0.662 0.660 Ce
0.170 0.338 0.340 Ce
0.500 0.500 0.000 Sm
0.832 0.171 0.664 Sm
0.168 0.829 0.336 Sm
0.335 0.921 0.669 Te
0.664 0.585 0.329 Te
0.665 0.079 0.331 Te
0.000 0.248 0.000 Te
0.000 0.752 0.000 Te
0.336 0.415 0.671 Te
```

Summary:
uncorrected energy	-5.33	eV/atom
energy relative to the elements, uncorrected	-17.04	eV/f.u.
V	31.6	A^3/atom

=====

CaCe3Sm2Te6: optimized geometry, PBE.

Structure (POSCAR):
```
CaCe3Sm2Te6
1.0
3.973 0.000 0.000
0.000 9.828 2.960
-1.987 0.015 9.244
Ca Ce Sm Te
1 3 2 6
Direct
0.500 0.000 0.000 Ca
0.500 0.500 0.000 Ce
0.335 0.335 0.671 Ce
0.665 0.665 0.329 Ce
0.342 0.835 0.684 Sm
0.658 0.165 0.316 Sm
0.999 0.245 0.999 Te
0.834 0.085 0.668 Te
0.001 0.755 0.001 Te
0.845 0.583 0.691 Te
0.155 0.417 0.309 Te
0.166 0.915 0.332 Te
```

Summary:
uncorrected energy	-5.26	eV/atom
energy relative to the elements, uncorrected	-15.01	eV/f.u.
V	30.1	A^3/atom